Record 1
Entry from Alexandria: ScPaPtO6 after structural relaxation (PBE-GGA).

Lattice parameters (Å, degrees): 5.3480 5.3480 9.4367 90.00 90.00 120.00
Element x y z (fractional)
O 0.6566 0.9792 0.8720
O 0.0208 0.3434 0.6280
O 0.3434 0.0208 0.1280
O 0.3226 0.9792 0.6280
O 0.6774 0.0208 0.3720
O 0.3226 0.3434 0.8720
O 0.3434 0.3226 0.3720
O 0.6566 0.6774 0.6280
O 0.9792 0.6566 0.3720
O 0.6774 0.6566 0.1280
O 0.9792 0.3226 0.1280
O 0.0208 0.6774 0.8720
Pa 0.6667 0.3333 0.7500
Pa 0.3333 0.6667 0.2500
Sc 0.0000 0.0000 0.0000
Sc 0.0000 0.0000 0.5000
Pt 0.3333 0.6667 0.7500
Pt 0.6667 0.3333 0.2500

## Properties
space-group type	P-31c, No. 163
total energy	-147.63	eV per cell
ΔE_f (raw)	-2466.4	meV/atom
total magnetization	0.0	μB/f.u.


Record 2
Entry from Alexandria: Pr3Sn4 after structural relaxation (PBE-GGA).

Lattice parameters (Å, degrees): 4.4978 6.3319 15.9060 89.99 90.00 110.80
Element x y z (fractional)
Sn 0.2217 0.4433 0.2503
Sn 0.7806 0.5611 0.7503
Sn 0.6201 0.2403 0.8928
Sn 0.3823 0.7646 0.3928
Sn 0.3823 0.7646 0.1078
Sn 0.0012 0.0024 0.5005
Sn 0.0013 0.0027 0.0003
Sn 0.6199 0.2397 0.6079
Pr 0.3312 0.6623 0.9028
Pr 0.6713 0.3425 0.4029
Pr 0.3309 0.6618 0.5978
Pr 0.9528 0.9056 0.2503
Pr 0.6713 0.3426 0.0979
Pr 0.0494 0.0988 0.7504

## Properties
space-group type	Cmcm, No. 63
total energy	-71.11	eV per cell
energy relative to the elements	-0.74	eV/atom
total magnetization	0.0	μB/f.u.


Record 3
Entry from Alexandria: LaTa3Tl after structural relaxation (PBE-GGA).

Lattice parameters (Å, degrees): 5.2023 5.2023 5.2023 90.00 90.00 90.00
Element x y z (fractional)
Ta 0.0000 0.5000 0.0000
Ta 0.0000 0.0000 0.5000
Ta 0.5000 0.0000 0.0000
Tl 0.0000 0.0000 0.0000
La 0.5000 0.5000 0.5000

## Properties
space-group type	Pm-3m, No. 221
total energy	-33.38	eV per cell
distance to the lowest polymorph of the same formula	0.000	eV/atom
energy relative to the elements	1.89	eV/atom
total magnetization	0.0	μB/f.u.


Record 4
Entry from Alexandria: AcNdEuDy after structural relaxation (PBE-GGA).

Lattice parameters (Å, degrees): 5.9867 5.9867 5.9867 60.00 60.00 60.00
Site moments in Bohr magnetons follow the coordinates.
Element x y z (fractional)
Nd 0.2500 0.2500 0.2500  -0.11
Eu 0.0000 0.0000 0.0000  -6.87
Ac 0.7500 0.7500 0.7500  -0.06
Dy 0.5000 0.5000 0.5000  -0.11

## Properties
space-group type	F-43m, No. 216
total energy	-23.26	eV per cell
energy relative to the elements	0.12	eV/atom
total magnetization	7.7	μB/f.u.